AcPtNO: optimized geometry, PBE-GGA.

The spin magnetization is 0.002 μB per formula unit. The electronic total energy comes out at -0.2543 Ha/atom.

The space group is Pca2_1 (No. 29) and the conventional cell measures 6.4348, 6.4895 and 6.2114 Å, with angles of 90.00, 90.00 and 90.00 degrees. The inequivalent atoms are Ac at (0.0517, 0.1763, 0.0000), Pt at (0.0600, 0.6447, 0.0566), N at (0.1166, 0.4521, 0.3277) and O at (0.2286, 0.9146, 0.2230).